# 1
A plane-wave DFT calculation with PBE was carried out for an optimized crystal structure of Cs3Au2I.

```
data_Cs3Au2I
_chemical_formula_sum 'Cs3 Au2 I1'
_cell_length_a 4.480
_cell_length_b 4.480
_cell_length_c 13.371
_cell_angle_alpha 90.00
_cell_angle_beta 90.00
_cell_angle_gamma 90.00
_symmetry_space_group_name_H-M 'P 1'
_symmetry_Int_Tables_number 1
loop_
_symmetry_equiv_pos_as_xyz
'x,y,z'
loop_
_atom_site_label
_atom_site_type_symbol
_atom_site_fract_x
_atom_site_fract_y
_atom_site_fract_z
Cs1 Cs 0.000 0.000 0.000
Cs2 Cs 0.000 0.000 0.324
Cs3 Cs 0.000 0.000 0.676
Au1 Au 0.500 0.500 0.159
Au2 Au 0.500 0.500 0.841
I1 I 0.500 0.500 0.500
```

- E_form (uncorrected): -716 meV per atom

***

# 2
A plane-wave DFT calculation with PBE was carried out for an optimized crystal structure of Cs5Au4I.

```
data_Cs5Au4I
_chemical_formula_sum 'Cs5 Au4 I1'
_cell_length_a 4.434
_cell_length_b 4.434
_cell_length_c 22.075
_cell_angle_alpha 90.00
_cell_angle_beta 90.00
_cell_angle_gamma 90.00
_symmetry_space_group_name_H-M 'P 1'
_symmetry_Int_Tables_number 1
loop_
_symmetry_equiv_pos_as_xyz
'x,y,z'
loop_
_atom_site_label
_atom_site_type_symbol
_atom_site_fract_x
_atom_site_fract_y
_atom_site_fract_z
Cs1 Cs 0.000 0.000 0.000
Cs2 Cs 0.000 0.000 0.196
Cs3 Cs 0.000 0.000 0.393
Cs4 Cs 0.000 0.000 0.607
Cs5 Cs 0.000 0.000 0.804
Au1 Au 0.500 0.500 0.098
Au2 Au 0.500 0.500 0.293
Au3 Au 0.500 0.500 0.707
Au4 Au 0.500 0.500 0.902
I1 I 0.500 0.500 0.500
```

- E_form (uncorrected): -559 meV per atom

***

- Which of these has the lowest E_form (uncorrected)?
  Cs3Au2I

***

Copy entry 1 word for word.
A plane-wave DFT calculation with PBE was carried out for an optimized crystal structure of Cs3Au2I.

```
data_Cs3Au2I
_chemical_formula_sum 'Cs3 Au2 I1'
_cell_length_a 4.480
_cell_length_b 4.480
_cell_length_c 13.371
_cell_angle_alpha 90.00
_cell_angle_beta 90.00
_cell_angle_gamma 90.00
_symmetry_space_group_name_H-M 'P 1'
_symmetry_Int_Tables_number 1
loop_
_symmetry_equiv_pos_as_xyz
'x,y,z'
loop_
_atom_site_label
_atom_site_type_symbol
_atom_site_fract_x
_atom_site_fract_y
_atom_site_fract_z
Cs1 Cs 0.000 0.000 0.000
Cs2 Cs 0.000 0.000 0.324
Cs3 Cs 0.000 0.000 0.676
Au1 Au 0.500 0.500 0.159
Au2 Au 0.500 0.500 0.841
I1 I 0.500 0.500 0.500
```

- E_form (uncorrected): -716 meV per atom

***

- Which value of E_form (uncorrected) does entry 1 give?
  -716 meV per atom